Entry 1:
NbSbS2 PBE-GGA optimized geometry; space group = No. 160; raw total energy = -6.194 eV per atom; DOS(E_F) = 0.547 states/eV per atom; crystal system = trigonal
1.0
3.307 0.000 0.000
1.654 2.864 0.000
1.654 0.955 8.869
S Sb Nb
2 1 1
Direct
0.275 0.275 0.175
0.063 0.063 0.811
0.493 0.493 0.520
0.668 0.668 0.995



Entry 2:
TcPtPb PBE-GGA optimized geometry; space group = No. 156; DOS(E_F) = 1.011 states/eV per atom; E above lowest polymorph = 77 meV/atom; crystal system = trigonal
1.0
3.069 0.000 0.000
-1.534 2.658 0.000
0.000 0.000 6.887
Tc Pt Pb
1 1 1
Direct
0.333 0.667 0.646
0.667 0.333 0.358
0.000 0.000 0.996



Entry 3:
In2SiRh PBE-GGA optimized geometry; space group = No. 12; raw total energy = -4.449 eV per atom; DOS(E_F) = 0.588 states/eV per atom; crystal system = monoclinic
1.0
6.449 -0.006 -0.016
-2.386 4.271 -0.002
1.677 0.943 2.667
In Rh Si
2 1 1
Direct
0.000 0.000 0.000
0.500 0.000 0.500
0.000 0.500 0.500
0.500 0.500 0.000



Entry 4:
PrTlSb2 PBE-GGA optimized geometry; space group = No. 123; DOS(E_F) = 0.486 states/eV per atom; E above lowest polymorph = 39 meV/atom; crystal system = tetragonal
1.0
4.584 0.000 0.000
0.000 5.011 0.000
0.000 0.000 5.011
Sb Tl Pr
2 1 1
Direct
0.000 0.500 0.000
0.000 0.000 0.500
0.500 0.000 0.000
0.500 0.500 0.500



Entry 5:
Co3PtW PBE-GGA optimized geometry; space group = No. 221; DOS(E_F) = 1.360 states/eV per atom; E above lowest polymorph = 1754 meV/atom; crystal system = cubic
1.0
4.482 0.000 0.000
0.000 4.482 0.000
0.000 0.000 4.482
Co Pt W
3 1 1
Direct
0.000 0.000 0.500
0.000 0.500 0.000
0.500 0.000 0.000
0.000 0.000 0.000
0.500 0.500 0.500



Entry 6:
Ce4FePb PBE-GGA optimized geometry; space group = No. 2; DOS(E_F) = 2.168 states/eV per atom; E above lowest polymorph = 20 meV/atom; crystal system = triclinic
1.0
-3.699 0.101 4.909
2.950 -4.980 1.953
5.080 4.191 4.443
Ce Pb Fe
8 2 2
Direct
0.791 0.626 0.958
0.932 0.340 0.332
0.068 0.660 0.668
0.384 0.242 0.555
0.639 0.097 0.162
0.616 0.758 0.445
0.209 0.374 0.042
0.361 0.903 0.838
0.136 0.858 0.247
0.864 0.142 0.753
0.520 0.440 0.742
0.480 0.560 0.258



no.,ρ (g/cm³),volume (Å³/atom)
1,5.51,21.004
2,14.79,18.722
3,8.14,18.392
4,8.49,28.780
5,10.25,18.008
6,9.22,24.724